<P>
Dy3Ho2Tm5 after structural relaxation, computed with PBE.

a b c (Å): 10.948 10.948 10.948
angles (deg): 109.49 79.95 147.23
Fractional positions:
Dy  0.249  0.159  0.408
Dy  0.250  0.250  0.000
Dy  0.251  0.659  0.910
Dy  0.749  0.341  0.090
Dy  0.750  0.750  0.000
Dy  0.751  0.841  0.592
Ho  0.156  0.899  0.056
Ho  0.344  0.399  0.743
Ho  0.656  0.601  0.257
Ho  0.844  0.101  0.944
Tm  0.156  0.402  0.558
Tm  0.250  0.501  0.251
Tm  0.250  0.750  0.500
Tm  0.250  0.999  0.749
Tm  0.344  0.902  0.246
Tm  0.656  0.098  0.754
Tm  0.750  0.001  0.251
Tm  0.750  0.250  0.500
Tm  0.750  0.499  0.749
Tm  0.844  0.598  0.442

Output
magnetization	0.00	μB/atom

<Q>
Dy3Ho2Tm5 after structural relaxation, computed with PBE.

a b c (Å): 9.372 9.372 9.356
angles (deg): 108.46 108.46 111.57
Fractional positions:
Dy  0.026  0.271  0.048
Dy  0.231  0.769  0.750
Dy  0.271  0.026  0.548
Dy  0.729  0.974  0.452
Dy  0.769  0.231  0.250
Dy  0.974  0.729  0.952
Ho  0.230  0.472  0.452
Ho  0.472  0.230  0.952
Ho  0.528  0.770  0.048
Ho  0.770  0.528  0.548
Tm  0.027  0.973  0.750
Tm  0.137  0.366  0.753
Tm  0.270  0.730  0.250
Tm  0.366  0.137  0.253
Tm  0.473  0.527  0.250
Tm  0.527  0.473  0.750
Tm  0.634  0.863  0.747
Tm  0.730  0.270  0.750
Tm  0.863  0.634  0.247
Tm  0.973  0.027  0.250

Output
magnetization	0.00	μB/atom

Unit: meV per atom. Relative energies: <P> 154; <Q> 0.